The following is a GGA-PBE calculation of an optimized crystal structure of Pa2Sn3Hg3, from Alexandria.

Cell lengths 4.629, 4.806, 8.901 Å; angles 90.00, 90.00, 90.00 degrees
Space group Pmmm (No. 47)
Symmetry-distinct sites (fractional):
Pa  0.000  0.000  0.244 [2 per cell]
Sn  0.000  0.500  0.000 [1 per cell]
Sn  0.500  0.000  0.000 [1 per cell]
Sn  0.500  0.000  0.500 [1 per cell]
Hg  0.000  0.500  0.500 [1 per cell]
Hg  0.500  0.500  0.253 [2 per cell]

Summary:
ΔE_f ... -0.16 eV/atom

---

The following is a GGA-PBE calculation of an optimized crystal structure of PmP2Rh2, from Alexandria.

Cell lengths 4.162, 4.162, 9.557 Å; angles 90.00, 90.00, 90.00 degrees
Space group P4/nmm (No. 129, origin choice 2)
Symmetry-distinct sites (fractional):
Pm  0.250  0.250  0.242 [2 per cell]
P  0.250  0.250  0.639 [2 per cell]
P  0.250  0.750  0.000 [2 per cell]
Rh  0.250  0.250  0.887 [2 per cell]
Rh  0.250  0.750  0.500 [2 per cell]

Summary:
ΔE_f ... -1.11 eV/atom

---

The following is a GGA-PBE calculation of an optimized crystal structure of La2AuI, from Alexandria.

Cell lengths 4.278, 6.389, 9.581 Å; angles 90.00, 90.00, 90.00 degrees
Space group Pmmn (No. 59, origin choice 2)
Symmetry-distinct sites (fractional):
La  0.250  0.250  0.088 [2 per cell]
La  0.250  0.250  0.640 [2 per cell]
Au  0.250  0.750  0.138 [2 per cell]
I  0.250  0.750  0.632 [2 per cell]

Summary:
Uncorrected formation energy ... -0.90 eV per atom

---

The following is a GGA-PBE calculation of an optimized crystal structure of Tb2Tm4Sc3, from Alexandria.

Cell lengths 15.381, 11.187, 5.991 Å; angles 90.00, 94.87, 90.00 degrees
Space group C2/c (No. 15)
Symmetry-distinct sites (fractional):
Tb  0.119  0.144  0.324 [8 per cell]
Tm  0.048  0.359  0.010 [8 per cell]
Tm  0.215  0.141  0.843 [8 per cell]
Sc  0.000  0.099  0.750 [4 per cell]
Sc  0.166  0.402  0.586 [8 per cell]

Summary:
ΔE_f ... 0.11 eV/atom